[1]
Sc3Si: relaxed, PBE.

The structure in CIF format:
```
data_Sc3Si
_cell_length_a 6.1492
_cell_length_b 6.1492
_cell_length_c 4.8579
_cell_angle_alpha 90.00
_cell_angle_beta 90.00
_cell_angle_gamma 120.00
_space_group_name_H-M_alt 'P 63/m m c'
_space_group_IT_number 194
_space_group_name_Hall '-P 6c 2c'
loop_
_atom_site_label
_atom_site_type_symbol
_atom_site_fract_x
_atom_site_fract_y
_atom_site_fract_z
_atom_site_occupancy
Sc1 Sc 0.1734 0.3469 0.2500 1
Si1 Si 0.3333 0.6667 0.7500 1
```

distance to the lowest polymorph of the same formula	86	meV/atom
formation energy (no corrections)	-0.390	eV/atom

=====

[2]
ScSi23: relaxed, PBE.

The structure in CIF format:
```
data_ScSi23
_cell_length_a 10.197
_cell_length_b 10.197
_cell_length_c 10.197
_cell_angle_alpha 90.00
_cell_angle_beta 90.00
_cell_angle_gamma 90.00
_space_group_name_H-M_alt 'P m -3 n'
_space_group_IT_number 223
_space_group_name_Hall '-P 4n 2 3'
loop_
_atom_site_label
_atom_site_type_symbol
_atom_site_fract_x
_atom_site_fract_y
_atom_site_fract_z
_atom_site_occupancy
Sc1 Sc 0.000 0.000 0.000 1
Si1 Si 0.000 0.116 0.308 1
Si2 Si 0.000 0.250 0.500 1
Si3 Si 0.182 0.182 0.182 1
```

formation energy (no corrections)	0.085	eV/atom

=====

[3]
ScSi3: relaxed, PBE.

The structure in CIF format:
```
data_ScSi3
_cell_length_a 5.360
_cell_length_b 7.711
_cell_length_c 3.149
_cell_angle_alpha 90.00
_cell_angle_beta 90.00
_cell_angle_gamma 90.00
_space_group_name_H-M_alt 'C m m m'
_space_group_IT_number 65
_space_group_name_Hall '-C 2 2'
loop_
_atom_site_label
_atom_site_type_symbol
_atom_site_fract_x
_atom_site_fract_y
_atom_site_fract_z
_atom_site_occupancy
Sc1 Sc 0.000 0.000 0.000 1
Si1 Si 0.000 0.500 0.000 1
Si2 Si 0.250 0.250 0.500 1
```

formation energy (no corrections)	-0.056	eV/atom

=====

[4]
Sc3Si: relaxed, PBE.

The structure in CIF format:
```
data_Sc3Si
_cell_length_a 3.2247
_cell_length_b 3.2247
_cell_length_c 9.6159
_cell_angle_alpha 90.00
_cell_angle_beta 90.00
_cell_angle_gamma 120.00
_space_group_name_H-M_alt 'P -6 m 2'
_space_group_IT_number 187
_space_group_name_Hall 'P -6 2'
loop_
_atom_site_label
_atom_site_type_symbol
_atom_site_fract_x
_atom_site_fract_y
_atom_site_fract_z
_atom_site_occupancy
Sc1 Sc 0.0000 0.0000 0.0000 1
Sc2 Sc 0.3333 0.6667 0.2795 1
Si1 Si 0.0000 0.0000 0.5000 1
```

distance to the lowest polymorph of the same formula	305	meV/atom
formation energy (no corrections)	-0.170	eV/atom

=====

[5]
Sc4Si: relaxed, PBE.

The structure in CIF format:
```
data_Sc4Si
_cell_length_a 3.822
_cell_length_b 3.822
_cell_length_c 15.921
_cell_angle_alpha 90.00
_cell_angle_beta 90.00
_cell_angle_gamma 90.00
_space_group_name_H-M_alt 'I 4/m m m'
_space_group_IT_number 139
_space_group_name_Hall '-I 4 2'
loop_
_atom_site_label
_atom_site_type_symbol
_atom_site_fract_x
_atom_site_fract_y
_atom_site_fract_z
_atom_site_occupancy
Sc1 Sc 0.000 0.000 0.084 1
Sc2 Sc 0.000 0.500 0.250 1
Si1 Si 0.000 0.000 0.500 1
```

distance to the lowest polymorph of the same formula	290	meV/atom
formation energy (no corrections)	0.325	eV/atom

=====

[6]
ScSi2: relaxed, PBE.

The structure in CIF format:
```
data_ScSi2
_cell_length_a 3.293
_cell_length_b 3.293
_cell_length_c 9.272
_cell_angle_alpha 90.00
_cell_angle_beta 90.00
_cell_angle_gamma 90.00
_space_group_name_H-M_alt 'I 4/m m m'
_space_group_IT_number 139
_space_group_name_Hall '-I 4 2'
loop_
_atom_site_label
_atom_site_type_symbol
_atom_site_fract_x
_atom_site_fract_y
_atom_site_fract_z
_atom_site_occupancy
Sc1 Sc 0.000 0.000 0.000 1
Si1 Si 0.000 0.000 0.304 1
```

formation energy (no corrections)	-0.299	eV/atom

=====

[7]
ScSi2: relaxed, PBE.

The structure in CIF format:
```
data_ScSi2
_cell_length_a 4.0253
_cell_length_b 4.0253
_cell_length_c 3.6047
_cell_angle_alpha 90.00
_cell_angle_beta 90.00
_cell_angle_gamma 120.00
_space_group_name_H-M_alt 'P 6/m m m'
_space_group_IT_number 191
_space_group_name_Hall '-P 6 2'
loop_
_atom_site_label
_atom_site_type_symbol
_atom_site_fract_x
_atom_site_fract_y
_atom_site_fract_z
_atom_site_occupancy
Sc1 Sc 0.0000 0.0000 0.0000 1
Si1 Si 0.3333 0.6667 0.5000 1
```

formation energy (no corrections)	-0.366	eV/atom

=====

[8]
ScSi: relaxed, PBE.

The structure in CIF format:
```
data_ScSi
_cell_length_a 10.286
_cell_length_b 3.245
_cell_length_c 6.910
_cell_angle_alpha 90.00
_cell_angle_beta 100.39
_cell_angle_gamma 90.00
_space_group_name_H-M_alt 'C 1 m 1'
_space_group_IT_number 8
loop_
_space_group_symop_operation_xyz
'x,y,z'
'x,-y,z'
'x+1/2,y+1/2,z'
'x+1/2,-y+1/2,z'
loop_
_atom_site_label
_atom_site_type_symbol
_atom_site_fract_x
_atom_site_fract_y
_atom_site_fract_z
_atom_site_occupancy
Sc1 Sc 0.000 0.000 0.000 1
Sc2 Sc 0.072 0.000 0.606 1
Sc3 Sc 0.266 0.500 0.338 1
Si1 Si 0.224 0.500 0.909 1
Si2 Si 0.343 0.000 0.698 1
Si3 Si 0.492 0.000 0.304 1
```

formation energy (no corrections)	-0.457	eV/atom

=====

[9]
ScSi: relaxed, PBE.

The structure in CIF format:
```
data_ScSi
_cell_length_a 3.873
_cell_length_b 12.506
_cell_length_c 5.073
_cell_angle_alpha 90.00
_cell_angle_beta 90.00
_cell_angle_gamma 90.00
_space_group_name_H-M_alt 'I m m 2'
_space_group_IT_number 44
loop_
_space_group_symop_operation_xyz
'x,y,z'
'-x,-y,z'
'-x,y,z'
'x,-y,z'
'x+1/2,y+1/2,z+1/2'
'-x+1/2,-y+1/2,z+1/2'
'-x+1/2,y+1/2,z+1/2'
'x+1/2,-y+1/2,z+1/2'
loop_
_atom_site_label
_atom_site_type_symbol
_atom_site_fract_x
_atom_site_fract_y
_atom_site_fract_z
_atom_site_occupancy
Sc1 Sc 0.000 0.000 0.000 1
Sc2 Sc 0.000 0.293 0.198 1
Si1 Si 0.000 0.362 0.692 1
Si2 Si 0.000 0.500 0.014 1
```

formation energy (no corrections)	-0.433	eV/atom

=====

[10]
Sc3Si: relaxed, PBE.

The structure in CIF format:
```
data_Sc3Si
_cell_length_a 3.139
_cell_length_b 3.139
_cell_length_c 8.550
_cell_angle_alpha 90.00
_cell_angle_beta 90.00
_cell_angle_gamma 90.00
_space_group_name_H-M_alt 'P 4/m m m'
_space_group_IT_number 123
_space_group_name_Hall '-P 4 2'
loop_
_atom_site_label
_atom_site_type_symbol
_atom_site_fract_x
_atom_site_fract_y
_atom_site_fract_z
_atom_site_occupancy
Sc1 Sc 0.000 0.000 0.000 1
Sc2 Sc 0.500 0.500 0.293 1
Si1 Si 0.000 0.000 0.500 1
```

distance to the lowest polymorph of the same formula	196	meV/atom
formation energy (no corrections)	-0.280	eV/atom

=====

[11]
ScSi: relaxed, PBE.

The structure in CIF format:
```
data_ScSi
_cell_length_a 7.957
_cell_length_b 7.957
_cell_length_c 7.957
_cell_angle_alpha 90.00
_cell_angle_beta 90.00
_cell_angle_gamma 90.00
_space_group_name_H-M_alt 'I -4 3 m'
_space_group_IT_number 217
_space_group_name_Hall 'I -4 2 3'
loop_
_atom_site_label
_atom_site_type_symbol
_atom_site_fract_x
_atom_site_fract_y
_atom_site_fract_z
_atom_site_occupancy
Sc1 Sc 0.202 0.202 0.798 1
Si1 Si 0.112 0.112 0.112 1
```

formation energy (no corrections)	0.305	eV/atom

=====

[12]
Sc3Si: relaxed, PBE.

The structure in CIF format:
```
data_Sc3Si
_cell_length_a 3.666
_cell_length_b 4.547
_cell_length_c 9.918
_cell_angle_alpha 90.00
_cell_angle_beta 90.00
_cell_angle_gamma 90.00
_space_group_name_H-M_alt 'I m m m'
_space_group_IT_number 71
_space_group_name_Hall '-I 2 2'
loop_
_atom_site_label
_atom_site_type_symbol
_atom_site_fract_x
_atom_site_fract_y
_atom_site_fract_z
_atom_site_occupancy
Sc1 Sc 0.000 0.000 0.000 1
Sc2 Sc 0.000 0.500 0.214 1
Si1 Si 0.000 0.000 0.500 1
```

distance to the lowest polymorph of the same formula	97	meV/atom
formation energy (no corrections)	-0.379	eV/atom

=====

[13]
ScSi: relaxed, PBE.

The structure in CIF format:
```
data_ScSi
_cell_length_a 4.455
_cell_length_b 4.702
_cell_length_c 7.142
_cell_angle_alpha 90.00
_cell_angle_beta 90.00
_cell_angle_gamma 90.00
_space_group_name_H-M_alt 'C m m e'
_space_group_IT_number 67
_space_group_name_Hall '-C 2a 2'
loop_
_atom_site_label
_atom_site_type_symbol
_atom_site_fract_x
_atom_site_fract_y
_atom_site_fract_z
_atom_site_occupancy
Sc1 Sc 0.000 0.250 0.177 1
Si1 Si 0.000 0.250 0.578 1
```

formation energy (no corrections)	-0.259	eV/atom

=====

[14]
ScSi: relaxed, PBE.

The structure in CIF format:
```
data_ScSi
_cell_length_a 4.8639
_cell_length_b 4.8639
_cell_length_c 7.6150
_cell_angle_alpha 90.00
_cell_angle_beta 90.00
_cell_angle_gamma 120.00
_space_group_name_H-M_alt 'P 63/m m c'
_space_group_IT_number 194
_space_group_name_Hall '-P 6c 2c'
loop_
_atom_site_label
_atom_site_type_symbol
_atom_site_fract_x
_atom_site_fract_y
_atom_site_fract_z
_atom_site_occupancy
Sc1 Sc 0.0000 0.0000 0.2500 1
Sc2 Sc 0.3333 0.6667 0.2500 1
Si1 Si 0.3333 0.6667 0.6002 1
```

formation energy (no corrections)	0.074	eV/atom

=====

[15]
Sc5Si: relaxed, PBE.

The structure in CIF format:
```
data_Sc5Si
_cell_length_a 4.340
_cell_length_b 13.485
_cell_length_c 4.390
_cell_angle_alpha 90.00
_cell_angle_beta 90.00
_cell_angle_gamma 90.00
_space_group_name_H-M_alt 'C m m m'
_space_group_IT_number 65
_space_group_name_Hall '-C 2 2'
loop_
_atom_site_label
_atom_site_type_symbol
_atom_site_fract_x
_atom_site_fract_y
_atom_site_fract_z
_atom_site_occupancy
Sc1 Sc 0.000 0.000 0.000 1
Sc2 Sc 0.000 0.155 0.500 1
Sc3 Sc 0.000 0.335 0.000 1
Si1 Si 0.000 0.500 0.500 1
```

distance to the lowest polymorph of the same formula	0	meV/atom
formation energy (no corrections)	-0.216	eV/atom

=====

[16]
ScSi: relaxed, PBE.

The structure in CIF format:
```
data_ScSi
_cell_length_a 3.755
_cell_length_b 4.022
_cell_length_c 14.312
_cell_angle_alpha 90.00
_cell_angle_beta 90.00
_cell_angle_gamma 90.00
_space_group_name_H-M_alt 'I m m m'
_space_group_IT_number 71
_space_group_name_Hall '-I 2 2'
loop_
_atom_site_label
_atom_site_type_symbol
_atom_site_fract_x
_atom_site_fract_y
_atom_site_fract_z
_atom_site_occupancy
Sc1 Sc 0.000 0.000 0.000 1
Sc2 Sc 0.000 0.500 0.324 1
Si1 Si 0.000 0.000 0.500 1
Si2 Si 0.000 0.500 0.133 1
```

formation energy (no corrections)	-0.686	eV/atom

=====

[17]
Sc2Si: relaxed, PBE.

The structure in CIF format:
```
data_Sc2Si
_cell_length_a 3.055
_cell_length_b 3.055
_cell_length_c 26.073
_cell_angle_alpha 90.00
_cell_angle_beta 90.00
_cell_angle_gamma 90.00
_space_group_name_H-M_alt 'I 41/a m d'
_space_group_IT_number 141
loop_
_space_group_symop_operation_xyz
'x,y,z'
'-x,-y,-z'
'-y+1/4,x+3/4,z+1/4'
'y+1/4,-x+3/4,-z+1/4'
'-x+1/2,-y,z+1/2'
'x+1/2,y,-z+1/2'
'y+1/4,-x+1/4,z+3/4'
'-y+1/4,x+1/4,-z+3/4'
'x,-y,-z'
'-x,y,z'
'-y+1/4,-x+1/4,-z+3/4'
'y+1/4,x+1/4,z+3/4'
'-x+1/2,y,-z+1/2'
'x+1/2,-y,z+1/2'
'y+1/4,x+3/4,-z+1/4'
'-y+1/4,-x+3/4,z+1/4'
'x+1/2,y+1/2,z+1/2'
'-x+1/2,-y+1/2,-z+1/2'
'-y+3/4,x+1/4,z+3/4'
'y+3/4,-x+1/4,-z+3/4'
'-x,-y+1/2,z'
'x,y+1/2,-z'
'y+3/4,-x+3/4,z+1/4'
'-y+3/4,x+3/4,-z+1/4'
'x+1/2,-y+1/2,-z+1/2'
'-x+1/2,y+1/2,z+1/2'
'-y+3/4,-x+3/4,-z+1/4'
'y+3/4,x+3/4,z+1/4'
'-x,y+1/2,-z'
'x,-y+1/2,z'
'y+3/4,x+1/4,-z+3/4'
'-y+3/4,-x+1/4,z+3/4'
loop_
_atom_site_label
_atom_site_type_symbol
_atom_site_fract_x
_atom_site_fract_y
_atom_site_fract_z
_atom_site_occupancy
Sc1 Sc 0.000 0.250 0.307 1
Si1 Si 0.000 0.250 0.875 1
```

formation energy (no corrections)	-0.335	eV/atom

=====

[18]
Sc2Si: relaxed, PBE.

The structure in CIF format:
```
data_Sc2Si
_cell_length_a 3.852
_cell_length_b 13.953
_cell_length_c 4.324
_cell_angle_alpha 90.00
_cell_angle_beta 90.00
_cell_angle_gamma 90.00
_space_group_name_H-M_alt 'C m c m'
_space_group_IT_number 63
_space_group_name_Hall '-C 2c 2'
loop_
_atom_site_label
_atom_site_type_symbol
_atom_site_fract_x
_atom_site_fract_y
_atom_site_fract_z
_atom_site_occupancy
Sc1 Sc 0.000 0.072 0.250 1
Sc2 Sc 0.000 0.243 0.750 1
Si1 Si 0.000 0.399 0.250 1
```

formation energy (no corrections)	-0.497	eV/atom

=====

[19]
Sc3Si: relaxed, PBE.

The structure in CIF format:
```
data_Sc3Si
_cell_length_a 11.051
_cell_length_b 11.051
_cell_length_c 5.607
_cell_angle_alpha 90.00
_cell_angle_beta 90.00
_cell_angle_gamma 90.00
_space_group_name_H-M_alt 'P 42/n'
_space_group_IT_number 86
loop_
_space_group_symop_operation_xyz
'x,y,z'
'-x,-y,-z'
'-y,x+1/2,z+1/2'
'y,-x+1/2,-z+1/2'
'-x+1/2,-y+1/2,z'
'x+1/2,y+1/2,-z'
'y+1/2,-x,z+1/2'
'-y+1/2,x,-z+1/2'
loop_
_atom_site_label
_atom_site_type_symbol
_atom_site_fract_x
_atom_site_fract_y
_atom_site_fract_z
_atom_site_occupancy
Sc1 Sc 0.034 0.583 0.224 1
Sc2 Sc 0.110 0.210 0.034 1
Sc3 Sc 0.135 0.665 0.711 1
Si1 Si 0.048 0.201 0.540 1
```

distance to the lowest polymorph of the same formula	0	meV/atom
formation energy (no corrections)	-0.476	eV/atom

=====

[20]
ScSi: relaxed, PBE.

The structure in CIF format:
```
data_ScSi
_cell_length_a 4.1061
_cell_length_b 4.1061
_cell_length_c 15.5022
_cell_angle_alpha 90.00
_cell_angle_beta 90.00
_cell_angle_gamma 120.00
_space_group_name_H-M_alt 'R -3 m'
_space_group_IT_number 166
_space_group_name_Hall '-R 3 2"'
loop_
_atom_site_label
_atom_site_type_symbol
_atom_site_fract_x
_atom_site_fract_y
_atom_site_fract_z
_atom_site_occupancy
Sc1 Sc 0.0000 0.0000 0.0984 1
Si1 Si 0.0000 0.0000 0.3246 1
```

formation energy (no corrections)	-0.319	eV/atom

=====

[21]
Sc5Si3: relaxed, PBE.

The structure in CIF format:
```
data_Sc5Si3
_cell_length_a 7.8894
_cell_length_b 7.8894
_cell_length_c 5.8192
_cell_angle_alpha 90.00
_cell_angle_beta 90.00
_cell_angle_gamma 120.00
_space_group_name_H-M_alt 'P 63/m c m'
_space_group_IT_number 193
_space_group_name_Hall '-P 6c 2'
loop_
_atom_site_label
_atom_site_type_symbol
_atom_site_fract_x
_atom_site_fract_y
_atom_site_fract_z
_atom_site_occupancy
Sc1 Sc 0.0000 0.2416 0.2500 1
Sc2 Sc 0.3333 0.6667 0.0000 1
Si1 Si 0.0000 0.3951 0.7500 1
```

distance to the lowest polymorph of the same formula	0	meV/atom
formation energy (no corrections)	-0.768	eV/atom

=====

[22]
Sc5Si: relaxed, PBE.

The structure in CIF format:
```
data_Sc5Si
_cell_length_a 11.125
_cell_length_b 3.383
_cell_length_c 7.723
_cell_angle_alpha 90.00
_cell_angle_beta 113.07
_cell_angle_gamma 90.00
_space_group_name_H-M_alt 'C 1 m 1'
_space_group_IT_number 8
loop_
_space_group_symop_operation_xyz
'x,y,z'
'x,-y,z'
'x+1/2,y+1/2,z'
'x+1/2,-y+1/2,z'
loop_
_atom_site_label
_atom_site_type_symbol
_atom_site_fract_x
_atom_site_fract_y
_atom_site_fract_z
_atom_site_occupancy
Sc1 Sc 0.000 0.000 0.000 1
Sc2 Sc 0.027 0.000 0.433 1
Sc3 Sc 0.168 0.500 0.796 1
Sc4 Sc 0.310 0.000 0.159 1
Sc5 Sc 0.337 0.000 0.593 1
Si1 Si 0.169 0.500 0.296 1
```

distance to the lowest polymorph of the same formula	7	meV/atom
formation energy (no corrections)	-0.209	eV/atom

=====

no.,total energy (eV per atom)
1,-6.49
2,-5.38
3,-5.71
4,-6.27
5,-5.82
6,-6.03
7,-6.09
8,-6.33
9,-6.31
10,-6.38
11,-5.57
12,-6.48
13,-6.14
14,-5.80
15,-6.40
16,-6.56
17,-6.36
18,-6.53
19,-6.58
20,-6.20
21,-6.76
22,-6.39